Entry from OQMD via LeMat-Bulk: a geometry-optimized LuBeInPd structure (PBE).

CIF file:
```
data_LuBeInPd
_chemical_formula_sum 'Lu4 Be4 In4 Pd4'
_space_group_name_H-M_alt 'F -4 3 m'
_space_group_IT_number 216
_space_group_name_Hall 'F -4 2 3'
_cell_length_a 6.566
_cell_length_b 6.566
_cell_length_c 6.566
_cell_angle_alpha 90.00
_cell_angle_beta 90.00
_cell_angle_gamma 90.00
loop_
_atom_site_label
_atom_site_type_symbol
_atom_site_fract_x
_atom_site_fract_y
_atom_site_fract_z
_atom_site_occupancy
Lu1 Lu 0.000 0.000 0.000 1
Be1 Be 0.250 0.250 0.750 1
In1 In 0.250 0.250 0.250 1
Pd1 Pd 0.000 0.000 0.500 1
```

Total moment in μB per formula unit: 0.00
Calculated volume in Å³/cell: 283.1
Calculated density in g/cm³: 9.51
Final energy in eV per cell: -68.25